Entry 1:
The following is a PBE calculation of a geometry-optimized La2Mg2Sn3 structure, from the Alexandria database.

The space group is C2/m (No. 12) and the conventional cell measures 16.804, 4.774 and 13.118 Å, with angles of 90.00, 126.81 and 90.00 degrees. The asymmetric unit holds La at (0.094, 0.000, 0.436), La at (0.234, 0.000, 0.833), Mg at (0.048, 0.500, 0.821), Mg at (0.093, 0.000, 0.163), Sn at (0.090, 0.500, 0.628), Sn at (0.127, 0.000, 0.971) and Sn at (0.169, 0.500, 0.330).

For the spin magnetization, the calculation gives 0.00 μB/f.u. The formation energy comes out at -0.546 eV per atom. Its density of states at the Fermi level is 0.6139 states/eV/atom.


Entry 2:
The following is a PBE calculation of a geometry-optimized La3MgSn3 structure, from the Alexandria database.

The space group is P6_3/m (No. 176) and the conventional cell measures 9.6300, 9.6300 and 6.5108 Å, with angles of 90.00, 90.00 and 120.00 degrees. The asymmetric unit holds La at (0.0488, 0.3551, 0.2500), Mg at (0.3333, 0.6667, 0.7500) and Sn at (0.0434, 0.3594, 0.7500).

For the spin magnetization, the calculation gives 0.00 μB/f.u. The formation energy comes out at -0.473 eV per atom. Its density of states at the Fermi level is 0.8474 states/eV/atom.


Entry 3:
The following is a PBE calculation of a geometry-optimized La3MgSn structure, from the Alexandria database.

The space group is Pm-3m (No. 221) and the conventional cell measures 6.119, 6.119 and 6.119 Å, with angles of 90.00, 90.00 and 90.00 degrees. The asymmetric unit holds La at (0.000, 0.000, 0.500), Mg at (0.500, 0.500, 0.500) and Sn at (0.000, 0.000, 0.000).

The value obtained for the distance to the lowest polymorph of the same formula is 456 meV/atom. For the spin magnetization, the calculation gives 1.54 μB/f.u. The formation energy comes out at 0.138 eV per atom. Its density of states at the Fermi level is 1.7574 states/eV/atom.


| no. | energy (eV per atom) |
| --- | --- |
| 1 | -4.125 |
| 2 | -4.528 |
| 3 | -3.938 |